DFT (PBE-GGA) results for a relaxed structure of La3Nd2In4.

Output
M_tot   0.000 μB per atom
Formation energy from the elements   -427 meV/atom
Energy   -4.346 eV per atom
SG   No. 12
Excess energy over the best structure of this formula in the dataset   0 meV/atom

Cell lengths 5.5131, 5.5079, 10.5213 Å; angles 90.09, 90.00, 59.97 degrees
Sites, in units of the cell vectors:
La1 0.3334 0.3332 0.4262
La2 0.6666 0.6668 0.5738
La3 0.0000 0.0000 0.0000
Nd1 0.6669 0.6662 0.2161
Nd2 0.3331 0.3338 0.7839
In1 0.0000 0.0001 0.6531
In2 0.6664 0.6672 0.8962
In3 0.3336 0.3328 0.1038
In4 0.0000 0.9999 0.3469



DFT (PBE-GGA) results for a relaxed structure of YTeOs2.

Output
M_tot   0.000 μB per atom
Energy   -7.358 eV per atom
E_form (uncorrected)   0.659 eV/atom
SG   No. 166

Cell lengths 8.8809, 8.8809, 8.8809 Å; angles 20.94, 20.94, 20.94 degrees
Sites, in units of the cell vectors:
Os1 0.5043 0.5043 0.5043
Os2 0.9957 0.9957 0.9957
Y1 0.7500 0.7500 0.7500
Te1 0.2500 0.2500 0.2500